1.
# TlZnTeF (PBE, optimized geometry)
# SG: Pbam
data_TlZnTeF
_chemical_formula_sum 'Tl8 Zn8 Te8 F8'
_symmetry_space_group_name_H-M 'P 1'
_symmetry_Int_Tables_number 1
_symmetry_space_group_name_Hall 'P 1'
_cell_length_a 9.934
_cell_length_b 19.427
_cell_length_c 3.958
_cell_angle_alpha 90.00
_cell_angle_beta 90.00
_cell_angle_gamma 90.00
loop_
_atom_site_label
_atom_site_type_symbol
_atom_site_fract_x
_atom_site_fract_y
_atom_site_fract_z
_atom_site_occupancy
Tl1 Tl 0.002 0.248 0.000 1
Tl2 Tl 0.244 0.136 0.000 1
Tl3 Tl 0.256 0.636 0.000 1
Tl4 Tl 0.498 0.748 0.000 1
Tl5 Tl 0.502 0.252 0.000 1
Tl6 Tl 0.744 0.364 0.000 1
Tl7 Tl 0.756 0.864 0.000 1
Tl8 Tl 0.998 0.752 0.000 1
Zn1 Zn 0.087 0.407 0.500 1
Zn2 Zn 0.097 0.915 0.500 1
Zn3 Zn 0.403 0.415 0.500 1
Zn4 Zn 0.413 0.907 0.500 1
Zn5 Zn 0.587 0.093 0.500 1
Zn6 Zn 0.597 0.585 0.500 1
Zn7 Zn 0.903 0.085 0.500 1
Zn8 Zn 0.913 0.593 0.500 1
Te1 Te 0.235 0.517 0.500 1
Te2 Te 0.244 0.800 0.500 1
Te3 Te 0.256 0.300 0.500 1
Te4 Te 0.265 0.017 0.500 1
Te5 Te 0.735 0.983 0.500 1
Te6 Te 0.744 0.700 0.500 1
Te7 Te 0.756 0.200 0.500 1
Te8 Te 0.765 0.483 0.500 1
F1 F 0.012 0.395 0.000 1
F2 F 0.017 0.909 0.000 1
F3 F 0.483 0.409 0.000 1
F4 F 0.488 0.895 0.000 1
F5 F 0.512 0.105 0.000 1
F6 F 0.517 0.591 0.000 1
F7 F 0.983 0.091 0.000 1
F8 F 0.988 0.605 0.000 1

=====

2.
# TlZnTeF (PBE, optimized geometry)
# SG: Pbam
data_TlZnTeF
_chemical_formula_sum 'Tl8 Zn8 Te8 F8'
_symmetry_space_group_name_H-M 'P 1'
_symmetry_Int_Tables_number 1
_symmetry_space_group_name_Hall 'P 1'
_cell_length_a 10.757
_cell_length_b 20.022
_cell_length_c 4.317
_cell_angle_alpha 90.00
_cell_angle_beta 90.00
_cell_angle_gamma 90.00
loop_
_atom_site_label
_atom_site_type_symbol
_atom_site_fract_x
_atom_site_fract_y
_atom_site_fract_z
_atom_site_occupancy
Tl1 Tl 0.182 0.215 0.000 1
Tl2 Tl 0.239 0.040 0.000 1
Tl3 Tl 0.261 0.540 0.000 1
Tl4 Tl 0.318 0.715 0.000 1
Tl5 Tl 0.682 0.285 0.000 1
Tl6 Tl 0.739 0.460 0.000 1
Tl7 Tl 0.761 0.960 0.000 1
Tl8 Tl 0.818 0.785 0.000 1
Zn1 Zn 0.020 0.420 0.500 1
Zn2 Zn 0.146 0.847 0.500 1
Zn3 Zn 0.354 0.347 0.500 1
Zn4 Zn 0.480 0.920 0.500 1
Zn5 Zn 0.520 0.080 0.500 1
Zn6 Zn 0.646 0.653 0.500 1
Zn7 Zn 0.854 0.153 0.500 1
Zn8 Zn 0.980 0.580 0.500 1
Te1 Te 0.004 0.352 0.000 1
Te2 Te 0.074 0.901 0.000 1
Te3 Te 0.426 0.401 0.000 1
Te4 Te 0.496 0.852 0.000 1
Te5 Te 0.504 0.148 0.000 1
Te6 Te 0.574 0.599 0.000 1
Te7 Te 0.926 0.099 0.000 1
Te8 Te 0.996 0.648 0.000 1
F1 F 0.125 0.505 0.500 1
F2 F 0.223 0.761 0.500 1
F3 F 0.277 0.261 0.500 1
F4 F 0.375 0.005 0.500 1
F5 F 0.625 0.995 0.500 1
F6 F 0.723 0.739 0.500 1
F7 F 0.777 0.239 0.500 1
F8 F 0.875 0.495 0.500 1

=====

Winner for stability: 2

=====

1.
# GdZnInSe3 (PBE, optimized geometry)
# SG: Cmcm
data_GdZnInSe3
_chemical_formula_sum 'Gd2 Zn2 In2 Se6'
_symmetry_space_group_name_H-M 'P 1'
_symmetry_Int_Tables_number 1
_symmetry_space_group_name_Hall 'P 1'
_cell_length_a 7.609
_cell_length_b 7.609
_cell_length_c 10.998
_cell_angle_alpha 90.00
_cell_angle_beta 90.00
_cell_angle_gamma 148.65
loop_
_atom_site_label
_atom_site_type_symbol
_atom_site_fract_x
_atom_site_fract_y
_atom_site_fract_z
_atom_site_occupancy
Gd1 Gd 0.000 0.000 0.000 1
Gd2 Gd 0.000 0.000 0.500 1
Zn1 Zn 0.463 0.537 0.750 1
Zn2 Zn 0.537 0.463 0.250 1
In1 In 0.248 0.752 0.250 1
In2 In 0.752 0.248 0.750 1
Se1 Se 0.068 0.932 0.750 1
Se2 Se 0.369 0.631 0.565 1
Se3 Se 0.369 0.631 0.935 1
Se4 Se 0.631 0.369 0.065 1
Se5 Se 0.631 0.369 0.435 1
Se6 Se 0.932 0.068 0.250 1

=====

2.
# GdZnInSe3 (PBE, optimized geometry)
# SG: Pnma
data_GdZnInSe3
_chemical_formula_sum 'Gd4 Zn4 In4 Se12'
_symmetry_space_group_name_H-M 'P 1'
_symmetry_Int_Tables_number 1
_symmetry_space_group_name_Hall 'P 1'
_cell_length_a 8.517
_cell_length_b 4.357
_cell_length_c 16.421
_cell_angle_alpha 90.00
_cell_angle_beta 90.00
_cell_angle_gamma 90.00
loop_
_atom_site_label
_atom_site_type_symbol
_atom_site_fract_x
_atom_site_fract_y
_atom_site_fract_z
_atom_site_occupancy
Gd1 Gd 0.250 0.250 0.046 1
Gd2 Gd 0.250 0.750 0.546 1
Gd3 Gd 0.750 0.250 0.454 1
Gd4 Gd 0.750 0.750 0.954 1
Zn1 Zn 0.142 0.250 0.360 1
Zn2 Zn 0.358 0.750 0.860 1
Zn3 Zn 0.642 0.250 0.140 1
Zn4 Zn 0.858 0.750 0.640 1
In1 In 0.073 0.250 0.786 1
In2 In 0.427 0.750 0.286 1
In3 In 0.573 0.250 0.714 1
In4 In 0.927 0.750 0.214 1
Se1 Se 0.001 0.750 0.409 1
Se2 Se 0.127 0.750 0.951 1
Se3 Se 0.191 0.250 0.214 1
Se4 Se 0.309 0.750 0.714 1
Se5 Se 0.373 0.250 0.451 1
Se6 Se 0.499 0.250 0.909 1
Se7 Se 0.501 0.750 0.091 1
Se8 Se 0.627 0.750 0.549 1
Se9 Se 0.691 0.250 0.286 1
Se10 Se 0.809 0.750 0.786 1
Se11 Se 0.873 0.250 0.049 1
Se12 Se 0.999 0.250 0.591 1

=====

Winner for stability: 1

=====

1.
# PrInB4 (PBE, optimized geometry)
# SG: Immm
data_PrInB4
_chemical_formula_sum 'Pr1 In1 B4'
_symmetry_space_group_name_H-M 'P 1'
_symmetry_Int_Tables_number 1
_symmetry_space_group_name_Hall 'P 1'
_cell_length_a 5.349
_cell_length_b 5.349
_cell_length_c 5.349
_cell_angle_alpha 144.45
_cell_angle_beta 119.17
_cell_angle_gamma 72.48
loop_
_atom_site_label
_atom_site_type_symbol
_atom_site_fract_x
_atom_site_fract_y
_atom_site_fract_z
_atom_site_occupancy
Pr1 Pr 0.000 0.000 0.000 1
In1 In 0.500 0.500 0.000 1
B1 B 0.067 0.741 0.326 1
B2 B 0.415 0.741 0.674 1
B3 B 0.585 0.259 0.326 1
B4 B 0.933 0.259 0.674 1

=====

2.
# PrInB4 (PBE, optimized geometry)
# SG: P6/mmm
data_PrInB4
_chemical_formula_sum 'Pr1 In1 B4'
_symmetry_space_group_name_H-M 'P 1'
_symmetry_Int_Tables_number 1
_symmetry_space_group_name_Hall 'P 1'
_cell_length_a 3.238
_cell_length_b 3.238
_cell_length_c 8.084
_cell_angle_alpha 90.00
_cell_angle_beta 90.00
_cell_angle_gamma 120.00
loop_
_atom_site_label
_atom_site_type_symbol
_atom_site_fract_x
_atom_site_fract_y
_atom_site_fract_z
_atom_site_occupancy
Pr1 Pr 0.000 0.000 0.000 1
In1 In 0.000 0.000 0.500 1
B1 B 0.333 0.667 0.266 1
B2 B 0.333 0.667 0.734 1
B3 B 0.667 0.333 0.266 1
B4 B 0.667 0.333 0.734 1

=====

Winner for stability: 1

=====

1.
# CuAg4 (PBE, optimized geometry)
# SG: P4/mmm
data_CuAg4
_chemical_formula_sum 'Cu2 Ag8'
_symmetry_space_group_name_H-M 'P 1'
_symmetry_Int_Tables_number 1
_symmetry_space_group_name_Hall 'P 1'
_cell_length_a 2.903
_cell_length_b 2.903
_cell_length_c 19.912
_cell_angle_alpha 90.00
_cell_angle_beta 90.00
_cell_angle_gamma 90.00
loop_
_atom_site_label
_atom_site_type_symbol
_atom_site_fract_x
_atom_site_fract_y
_atom_site_fract_z
_atom_site_occupancy
Cu1 Cu 0.000 0.000 0.091 1
Cu2 Cu 0.000 0.000 0.909 1
Ag1 Ag 0.000 0.000 0.288 1
Ag2 Ag 0.000 0.000 0.500 1
Ag3 Ag 0.000 0.000 0.712 1
Ag4 Ag 0.500 0.500 0.000 1
Ag5 Ag 0.500 0.500 0.181 1
Ag6 Ag 0.500 0.500 0.394 1
Ag7 Ag 0.500 0.500 0.606 1
Ag8 Ag 0.500 0.500 0.819 1

=====

2.
# CuAg4 (PBE, optimized geometry)
# SG: P2_1/m
data_CuAg4
_chemical_formula_sum 'Cu2 Ag8'
_symmetry_space_group_name_H-M 'P 1'
_symmetry_Int_Tables_number 1
_symmetry_space_group_name_Hall 'P 1'
_cell_length_a 7.042
_cell_length_b 2.881
_cell_length_c 8.460
_cell_angle_alpha 90.00
_cell_angle_beta 104.07
_cell_angle_gamma 90.00
loop_
_atom_site_label
_atom_site_type_symbol
_atom_site_fract_x
_atom_site_fract_y
_atom_site_fract_z
_atom_site_occupancy
Cu1 Cu 0.129 0.250 0.450 1
Cu2 Cu 0.871 0.750 0.550 1
Ag1 Ag 0.041 0.750 0.159 1
Ag2 Ag 0.257 0.750 0.728 1
Ag3 Ag 0.346 0.250 0.047 1
Ag4 Ag 0.425 0.750 0.356 1
Ag5 Ag 0.575 0.250 0.644 1
Ag6 Ag 0.654 0.750 0.953 1
Ag7 Ag 0.743 0.250 0.272 1
Ag8 Ag 0.959 0.250 0.841 1

=====

Winner for stability: 1

=====

1.
# NpAs (PBE, optimized geometry)
# SG: P-6m2
data_NpAs
_chemical_formula_sum 'Np1 As1'
_symmetry_space_group_name_H-M 'P 1'
_symmetry_Int_Tables_number 1
_symmetry_space_group_name_Hall 'P 1'
_cell_length_a 3.872
_cell_length_b 3.872
_cell_length_c 3.767
_cell_angle_alpha 90.00
_cell_angle_beta 90.00
_cell_angle_gamma 120.00
loop_
_atom_site_label
_atom_site_type_symbol
_atom_site_fract_x
_atom_site_fract_y
_atom_site_fract_z
_atom_site_occupancy
Np1 Np 0.000 0.000 0.000 1
As1 As 0.333 0.667 0.500 1

=====

2.
# NpAs (PBE, optimized geometry)
# SG: F-43m
data_NpAs
_chemical_formula_sum 'Np1 As1'
_symmetry_space_group_name_H-M 'P 1'
_symmetry_Int_Tables_number 1
_symmetry_space_group_name_Hall 'P 1'
_cell_length_a 4.596
_cell_length_b 4.596
_cell_length_c 4.596
_cell_angle_alpha 60.00
_cell_angle_beta 60.00
_cell_angle_gamma 60.00
loop_
_atom_site_label
_atom_site_type_symbol
_atom_site_fract_x
_atom_site_fract_y
_atom_site_fract_z
_atom_site_occupancy
Np1 Np 0.000 0.000 0.000 1
As1 As 0.250 0.250 0.250 1

=====

Winner for stability: 1